DFT (PBE) results for a relaxed structure of ZrSeS2.

size of the total moment: 0.5000 μB per atom
DOS(E_F): 10.18 states/eV per cell
formation energy (no corrections): -0.34 eV per atom

Cell: 6.8507 6.8507 10.4382 Å, 90.00 90.00 90.00°
Closest atoms and distances in Å follow each position.
Space group I-42d (No. 122)
Symmetry-distinct sites (fractional):
Zr 0.0000 0.0000 0.0000  4 S 2.43
Se 0.0000 0.0000 0.5000  4 S 3.15
S 0.1648 0.2500 0.1250  2 Zr 2.43